The following is a DFT calculation (PBEsol) of a relaxed structure of AgHg2Pt.

## Properties
- SG: Imm2
- Energy relative to the elements: 29 meV per atom
- DOS at the Fermi energy: 1.39 states/eV/cell

a = 3.971 Å, b = 4.018 Å, c = 5.296 Å
α = 112.29°, β = 112.02°, γ = 90.00°
Fractional positions:
Ag (0.250, 0.750, 0.500)
Hg (0.000, 0.000, 0.000)
Hg (0.750, 0.250, 0.501)
Pt (0.500, 0.500, 0.000)



The following is a DFT calculation (PBEsol) of a relaxed structure of MgSc.

## Properties
- SG: P2_1/m
- Energy relative to the elements: 19 meV per atom
- DOS at the Fermi energy: 4.62 states/eV/cell

a = 3.122 Å, b = 4.923 Å, c = 6.139 Å
α = 90.00°, β = 101.98°, γ = 90.00°
Fractional positions:
Sc (0.330, 0.750, 0.140)
Sc (0.670, 0.250, 0.860)
Mg (0.042, 0.750, 0.634)
Mg (0.958, 0.250, 0.366)



The following is a DFT calculation (PBEsol) of a relaxed structure of Cr2CoNi.

## Properties
- SG: I4/mmm
- Energy relative to the elements: 27 meV per atom
- DOS at the Fermi energy: 4.01 states/eV/cell

a = 3.415 Å, b = 3.415 Å, c = 4.341 Å
α = 113.16°, β = 113.16°, γ = 90.00°
Fractional positions:
Ni (0.000, 0.000, 0.000)
Co (0.500, 0.500, 0.000)
Cr (0.750, 0.250, 0.500)
Cr (0.250, 0.750, 0.500)



The following is a DFT calculation (PBEsol) of a relaxed structure of BeCo2AuN.

## Properties
- SG: P4/mmm
- DOS at the Fermi energy: 3.49 states/eV/cell
- Uncorrected formation energy: 1.3 eV/f.u.

a = 3.593 Å, b = 3.593 Å, c = 4.345 Å
α = 90.00°, β = 90.00°, γ = 90.00°
Site moments in Bohr magnetons follow the coordinates.
Fractional positions:
Co (0.000, 0.500, 0.000)  0.30
Co (0.500, 0.000, 0.000)  0.30
Au (0.000, 0.000, 0.500)  -0.01
Be (0.500, 0.500, 0.500)  -0.01
N (0.000, 0.000, 0.000)  0.03